ZrTa2C | PBE-GGA | optimized geometry

Cell lengths 7.470, 7.470, 5.801 Å; angles 49.92, 49.92, 90.00 degrees
Sites, in units of the cell vectors:
C1 0.250 0.750 0.500
C2 0.500 0.500 0.000
Ta1 0.375 0.487 0.750
Ta2 0.875 0.763 0.750
Ta3 0.237 0.625 0.250
Ta4 0.513 0.125 0.250
Zr1 0.000 0.000 0.000
Zr2 0.750 0.250 0.500

Values from the calculation:
V: 67 Å³/f.u.
Total energy: -82.3 eV per cell